Density functional theory data (PBE-GGA) for UPaRe after structural relaxation.

Computed properties:
The value obtained for the density of states at the Fermi level is 1.74 states/eV/atom. The calculation puts the offset from the most stable computed form at 0.386 eV per atom.

Unit cell a=8.220 b=8.220 c=8.220 alpha=30.63 beta=30.63 gamma=30.63
Sites, in units of the cell vectors:
U 0.210 0.210 0.210
U 0.790 0.790 0.790
Pa 0.074 0.074 0.074
Pa 0.926 0.926 0.926
Re 0.352 0.352 0.352
Re 0.648 0.648 0.648

---

Density functional theory data (PBE-GGA) for UPaRe after structural relaxation.

Computed properties:
The value obtained for the density of states at the Fermi level is 1.89 states/eV/atom. The calculation puts the offset from the most stable computed form at 0.075 eV per atom.

Unit cell a=5.449 b=7.770 c=6.255 alpha=90.00 beta=106.98 gamma=90.00
Sites, in units of the cell vectors:
U 0.162 0.104 0.139
U 0.162 0.396 0.639
U 0.838 0.604 0.361
U 0.838 0.896 0.861
Pa 0.269 0.683 0.942
Pa 0.269 0.817 0.442
Pa 0.731 0.183 0.558
Pa 0.731 0.317 0.058
Re 0.335 0.059 0.766
Re 0.335 0.441 0.266
Re 0.665 0.559 0.734
Re 0.665 0.941 0.234

---

Density functional theory data (PBE-GGA) for UPa2Re after structural relaxation.

Computed properties:
The value obtained for the density of states at the Fermi level is 2.26 states/eV/atom. The calculation puts the offset from the most stable computed form at 0.000 eV per atom.

Unit cell a=5.123 b=5.123 c=3.185 alpha=90.00 beta=90.00 gamma=90.00
Sites, in units of the cell vectors:
U 0.000 0.000 0.000
Pa 0.000 0.500 0.500
Pa 0.500 0.000 0.500
Re 0.500 0.500 0.000

---

Density functional theory data (PBE-GGA) for UPaReW after structural relaxation.

Computed properties:
The value obtained for the density of states at the Fermi level is 1.77 states/eV/atom.

Unit cell a=4.748 b=4.748 c=4.748 alpha=60.00 beta=60.00 gamma=60.00
Sites, in units of the cell vectors:
U 0.000 0.000 0.000
Pa 0.250 0.250 0.250
Re 0.500 0.500 0.500
W 0.750 0.750 0.750

---

Density functional theory data (PBE-GGA) for PaV4Re after structural relaxation.

Computed properties:
The value obtained for the density of states at the Fermi level is 1.13 states/eV/atom.

Unit cell a=5.098 b=5.098 c=5.098 alpha=60.00 beta=60.00 gamma=60.00
Sites, in units of the cell vectors:
Pa 0.000 0.000 0.000
V 0.124 0.625 0.625
V 0.625 0.124 0.625
V 0.625 0.625 0.124
V 0.625 0.625 0.625
Re 0.250 0.250 0.250

---

Density functional theory data (PBE-GGA) for Pa2VRe after structural relaxation.

Computed properties:
The value obtained for the density of states at the Fermi level is 1.36 states/eV/atom. The calculation puts the offset from the most stable computed form at 0.000 eV per atom.

Unit cell a=4.942 b=4.942 c=3.361 alpha=90.00 beta=90.00 gamma=90.00
Sites, in units of the cell vectors:
Pa 0.000 0.500 0.000
Pa 0.500 0.000 0.000
V 0.000 0.000 0.500
Re 0.500 0.500 0.500

---

no.,ΔH_f (0 K) (eV per atom)
1,0.400
2,0.090
3,0.045
4,0.199
5,0.110
6,0.190